[1]
HfV2Ni | PBE | relaxed

a b c (Å): 6.152 6.152 6.152
angles (deg): 90.00 90.00 90.00
Space group Fm-3m (No. 225)
Asymmetric unit:
Hf  0.000  0.000  0.000 (multiplicity 4)
V  0.250  0.250  0.250 (multiplicity 8)
Ni  0.000  0.000  0.500 (multiplicity 4)

Properties
- polymorph energy (0 for the lowest one) (eV per formula unit) = 0.000
- formation enthalpy at 0 K (meV per atom) = 185
- size of the total moment (μB per formula unit) = 0.00

---

[2]
Tb4Tm6Sc | PBE | relaxed

a b c (Å): 6.434 6.434 16.886
angles (deg): 90.00 90.00 90.00
Space group I-42m (No. 121)
Asymmetric unit:
Tb  0.179  0.179  0.365 (multiplicity 8)
Tm  0.000  0.500  0.000 (multiplicity 4)
Tm  0.184  0.184  0.168 (multiplicity 8)
Sc  0.000  0.000  0.000 (multiplicity 2)

Properties
- polymorph energy (0 for the lowest one) (eV per formula unit) = 1.702
- formation enthalpy at 0 K (meV per atom) = 291
- size of the total moment (μB per formula unit) = 0.00

---

[3]
RbBaH4Rh | PBE | relaxed

a b c (Å): 4.076 4.076 13.230
angles (deg): 90.00 90.00 90.00
Space group I4mm (No. 107)
Asymmetric unit:
Rb  0.000  0.000  0.000 (multiplicity 2)
Ba  0.000  0.000  0.273 (multiplicity 2)
H  0.000  0.000  0.519 (multiplicity 2)
H  0.000  0.000  0.782 (multiplicity 2)
H  0.000  0.500  0.148 (multiplicity 4)
Rh  0.000  0.000  0.651 (multiplicity 2)

Properties
- total energy (eV/atom) = -3.677
- size of the total moment (μB per formula unit) = 0.00

---

[4]
La2ScW | PBE | relaxed

a b c (Å): 8.794 8.794 6.010
angles (deg): 90.00 90.00 90.00
Space group I-42d (No. 122)
Asymmetric unit:
La  0.178  0.250  0.125 (multiplicity 8)
Sc  0.000  0.000  0.500 (multiplicity 4)
W  0.000  0.000  0.000 (multiplicity 4)

Properties
- polymorph energy (0 for the lowest one) (eV per formula unit) = 1.644
- formation enthalpy at 0 K (meV per atom) = 784
- size of the total moment (μB per formula unit) = 0.00

---

[5]
Pm2Sc2I7 | PBE | relaxed

a b c (Å): 8.899 13.264 8.049
angles (deg): 90.00 90.97 90.00
Space group C2/m (No. 12)
Asymmetric unit:
Pm  0.000  0.137  0.000 (multiplicity 4)
Sc  0.215  0.000  0.324 (multiplicity 4)
I  0.000  0.500  0.500 (multiplicity 2)
I  0.113  0.000  0.701 (multiplicity 4)
I  0.222  0.296  0.772 (multiplicity 8)

Properties
- size of the total moment (μB per formula unit) = 1.01
- uncorrected formation energy (eV/f.u.) = -10.291

---

[6]
SrLi2Tl | PBE | relaxed

a b c (Å): 8.380 4.812 6.002
angles (deg): 90.00 117.38 90.00
Space group C2/m (No. 12)
Asymmetric unit:
Sr  0.000  0.000  0.000 (multiplicity 2)
Li  0.207  0.000  0.621 (multiplicity 4)
Tl  0.000  0.500  0.500 (multiplicity 2)

Properties
- formation enthalpy at 0 K (meV per atom) = -213
- size of the total moment (μB per formula unit) = 0.00

---

[7]
Pa2BiTe2 | PBE | relaxed

a b c (Å): 5.855 9.592 11.850
angles (deg): 90.00 90.00 90.00
Space group Imma (No. 74)
Asymmetric unit:
Pa  0.000  0.250  0.082 (multiplicity 4)
Pa  0.000  0.250  0.639 (multiplicity 4)
Bi  0.000  0.250  0.365 (multiplicity 4)
Te  0.000  0.071  0.859 (multiplicity 8)

Properties
- size of the total moment (μB per formula unit) = 2.38
- uncorrected formation energy (eV/f.u.) = -1.994

---

[8]
LiZn2HRh | PBE | relaxed

a b c (Å): 4.143 4.143 3.482
angles (deg): 90.00 90.00 90.00
Space group P4/mmm (No. 123)
Asymmetric unit:
Li  0.000  0.000  0.000 (multiplicity 1)
Zn  0.000  0.500  0.500 (multiplicity 2)
H  0.500  0.500  0.500 (multiplicity 1)
Rh  0.500  0.500  0.000 (multiplicity 1)

Properties
- total energy (eV/atom) = -3.196
- size of the total moment (μB per formula unit) = 0.00

---

[9]
TaBRu3 | PBE | relaxed

a b c (Å): 9.440 4.235 7.150
angles (deg): 90.00 94.48 90.00
Space group C2/m (No. 12)
Asymmetric unit:
Ta  0.106  0.000  0.163 (multiplicity 4)
B  0.181  0.500  0.638 (multiplicity 4)
Ru  0.042  0.500  0.340 (multiplicity 4)
Ru  0.140  0.500  0.945 (multiplicity 4)
Ru  0.164  0.000  0.567 (multiplicity 4)

Properties
- formation enthalpy at 0 K (meV per atom) = 0
- size of the total moment (μB per formula unit) = 0.00

---

[10]
Nd6Ge2Br3Cl | PBE | relaxed

a b c (Å): 7.227 12.558 7.847
angles (deg): 90.00 107.98 90.00
Space group C2/m (No. 12)
Asymmetric unit:
Nd  0.232  0.164  0.209 (multiplicity 8)
Nd  0.245  0.500  0.212 (multiplicity 4)
Ge  0.000  0.334  0.000 (multiplicity 4)
Br  0.000  0.176  0.500 (multiplicity 4)
Br  0.000  0.500  0.500 (multiplicity 2)
Cl  0.000  0.000  0.000 (multiplicity 2)

Properties
- size of the total moment (μB per formula unit) = 0.00
- uncorrected formation energy (eV/f.u.) = -14.265

---

[11]
RbSeCl3 | PBE | relaxed

a b c (Å): 7.423 7.982 11.328
angles (deg): 90.00 97.51 90.00
Space group P2_1/c (No. 14)
Asymmetric unit:
Rb  0.002  0.174  0.342 (multiplicity 4)
Se  0.482  0.125  0.076 (multiplicity 4)
Cl  0.185  0.048  0.091 (multiplicity 4)
Cl  0.237  0.705  0.921 (multiplicity 4)
Cl  0.342  0.098  0.753 (multiplicity 4)

Properties
- size of the total moment (μB per formula unit) = 1.03
- uncorrected formation energy (eV/f.u.) = -3.978

---

[12]
ZnWN3 | PBE | relaxed

a b c (Å): 3.703 3.703 3.703
angles (deg): 90.00 90.00 90.00
Space group Pm-3m (No. 221)
Asymmetric unit:
Zn  0.000  0.000  0.000 (multiplicity 1)
W  0.500  0.500  0.500 (multiplicity 1)
N  0.000  0.000  0.500 (multiplicity 3)

Properties
- size of the total moment (μB per formula unit) = 0.00
- uncorrected formation energy (eV/f.u.) = 9.984